# PBE Pu3OsPd, relaxed
data_Pu3OsPd
_cell_length_a 6.842
_cell_length_b 6.842
_cell_length_c 6.842
_cell_angle_alpha 90.00
_cell_angle_beta 90.00
_cell_angle_gamma 90.00
_space_group_name_H-M_alt 'P m -3 m'
_space_group_IT_number 221
_space_group_name_Hall '-P 4 2 3'
loop_
_atom_site_label
_atom_site_fract_x
_atom_site_fract_y
_atom_site_fract_z
_atom_site_occupancy
Pu1 0.000 0.000 0.000 1
Pu2 0.262 0.262 0.262 1
Os1 0.000 0.500 0.500 1
Pd1 0.000 0.000 0.500 1
# Total DFT energy (no corrections) in eV for the cell shown: -179.3
# V in Å³ per cell: 320
# Magnetization in μB per formula unit: 11.57
# D(E_F) in states/eV/cell: 56.3

=====

# PBE PuOsPd, relaxed
data_PuOsPd
_cell_length_a 2.853
_cell_length_b 5.316
_cell_length_c 14.979
_cell_angle_alpha 90.00
_cell_angle_beta 90.00
_cell_angle_gamma 90.00
_space_group_name_H-M_alt 'I m m m'
_space_group_IT_number 71
_space_group_name_Hall '-I 2 2'
loop_
_atom_site_label
_atom_site_fract_x
_atom_site_fract_y
_atom_site_fract_z
_atom_site_occupancy
Pu1 0.000 0.000 0.180 1
Os1 0.000 0.218 0.000 1
Pd1 0.000 0.000 0.374 1
# Total DFT energy (no corrections) in eV for the cell shown: -121.1
# V in Å³ per cell: 227
# Magnetization in μB per formula unit: 5.29
# D(E_F) in states/eV/cell: 26.4

=====

# PBE Pu6Os2Pd, relaxed
data_Pu6Os2Pd
_cell_length_a 7.7903
_cell_length_b 7.7903
_cell_length_c 2.8494
_cell_angle_alpha 90.00
_cell_angle_beta 90.00
_cell_angle_gamma 120.00
_space_group_name_H-M_alt 'P -3 1 m'
_space_group_IT_number 162
_space_group_name_Hall '-P 3 2'
loop_
_atom_site_label
_atom_site_fract_x
_atom_site_fract_y
_atom_site_fract_z
_atom_site_occupancy
Pu1 0.0000 0.3409 0.0844 1
Os1 0.3333 0.6667 0.5000 1
Pd1 0.0000 0.0000 0.5000 1
# Total DFT energy (no corrections) in eV for the cell shown: -111.7
# V in Å³ per cell: 150
# Magnetization in μB per formula unit: 0.00
# D(E_F) in states/eV/cell: 21.1

=====

# PBE PuScOsPd, relaxed
data_PuScOsPd
_cell_length_a 6.705
_cell_length_b 6.705
_cell_length_c 6.705
_cell_angle_alpha 90.00
_cell_angle_beta 90.00
_cell_angle_gamma 90.00
_space_group_name_H-M_alt 'F -4 3 m'
_space_group_IT_number 216
_space_group_name_Hall 'F -4 2 3'
loop_
_atom_site_label
_atom_site_fract_x
_atom_site_fract_y
_atom_site_fract_z
_atom_site_occupancy
Pu1 0.000 0.000 0.000 1
Sc1 0.000 0.000 0.500 1
Os1 0.250 0.250 0.250 1
Pd1 0.250 0.250 0.750 1
# Total DFT energy (no corrections) in eV for the cell shown: -154.4
# V in Å³ per cell: 301
# Magnetization in μB per formula unit: 4.69
# D(E_F) in states/eV/cell: 29.0

=====

# PBE Pu2Si6OsPd, relaxed
data_Pu2Si6OsPd
_cell_length_a 5.8564
_cell_length_b 5.8564
_cell_length_c 37.5477
_cell_angle_alpha 90.00
_cell_angle_beta 90.00
_cell_angle_gamma 120.00
_space_group_name_H-M_alt 'R -3 m'
_space_group_IT_number 166
_space_group_name_Hall '-R 3 2"'
loop_
_atom_site_label
_atom_site_fract_x
_atom_site_fract_y
_atom_site_fract_z
_atom_site_occupancy
Pu1 0.0000 0.0000 0.1273 1
Pu2 0.0000 0.0000 0.2770 1
Si1 0.0602 0.5301 0.7215 1
Si2 0.0663 0.5331 0.8719 1
Os1 0.0000 0.0000 0.4237 1
Pd1 0.0000 0.0000 0.0000 1
Pd2 0.0000 0.0000 0.5000 1
# Uncorrected formation energy in eV/atom: -0.35
# V in Å³ per cell: 1115
# Magnetization in μB per formula unit: 10.61
# D(E_F) in states/eV/cell: 58.2

=====

# PBE SmPuOsPd, relaxed
data_SmPuOsPd
_cell_length_a 6.965
_cell_length_b 6.965
_cell_length_c 6.965
_cell_angle_alpha 90.00
_cell_angle_beta 90.00
_cell_angle_gamma 90.00
_space_group_name_H-M_alt 'F -4 3 m'
_space_group_IT_number 216
_space_group_name_Hall 'F -4 2 3'
loop_
_atom_site_label
_atom_site_fract_x
_atom_site_fract_y
_atom_site_fract_z
_atom_site_occupancy
Sm1 0.000 0.000 0.000 1
Pu1 0.000 0.000 0.500 1
Os1 0.250 0.250 0.750 1
Pd1 0.250 0.250 0.250 1
# Total DFT energy (no corrections) in eV for the cell shown: -145.9
# V in Å³ per cell: 338
# Magnetization in μB per formula unit: 4.71
# D(E_F) in states/eV/cell: 35.5

=====

# PBE Rb3OsPd, relaxed
data_Rb3OsPd
_cell_length_a 6.301
_cell_length_b 6.301
_cell_length_c 6.301
_cell_angle_alpha 90.00
_cell_angle_beta 90.00
_cell_angle_gamma 90.00
_space_group_name_H-M_alt 'P m -3 m'
_space_group_IT_number 221
_space_group_name_Hall '-P 4 2 3'
loop_
_atom_site_label
_atom_site_fract_x
_atom_site_fract_y
_atom_site_fract_z
_atom_site_occupancy
Rb1 0.000 0.000 0.500 1
Os1 0.500 0.500 0.500 1
Pd1 0.000 0.000 0.000 1
# Energy above the lowest structure with this stoichiometry in meV/atom: 0.0
# V in Å³ per cell: 250
# Magnetization in μB per formula unit: 2.93
# D(E_F) in states/eV/cell: 7.9

=====

# PBE RbOs3Pd, relaxed
data_RbOs3Pd
_cell_length_a 4.871
_cell_length_b 4.871
_cell_length_c 4.871
_cell_angle_alpha 90.00
_cell_angle_beta 90.00
_cell_angle_gamma 90.00
_space_group_name_H-M_alt 'P m -3 m'
_space_group_IT_number 221
_space_group_name_Hall '-P 4 2 3'
loop_
_atom_site_label
_atom_site_fract_x
_atom_site_fract_y
_atom_site_fract_z
_atom_site_occupancy
Rb1 0.000 0.000 0.000 1
Os1 0.000 0.500 0.500 1
Pd1 0.500 0.500 0.500 1
# Energy above the lowest structure with this stoichiometry in meV/atom: 0.0
# V in Å³ per cell: 116
# Magnetization in μB per formula unit: 0.00
# D(E_F) in states/eV/cell: 14.6

=====

# PBE RbOs3Pd, relaxed
data_RbOs3Pd
_cell_length_a 4.695
_cell_length_b 4.695
_cell_length_c 4.695
_cell_angle_alpha 90.00
_cell_angle_beta 90.00
_cell_angle_gamma 90.00
_space_group_name_H-M_alt 'P m -3 m'
_space_group_IT_number 221
_space_group_name_Hall '-P 4 2 3'
loop_
_atom_site_label
_atom_site_fract_x
_atom_site_fract_y
_atom_site_fract_z
_atom_site_occupancy
Rb1 0.000 0.000 0.000 1
Os1 0.000 0.000 0.500 1
Pd1 0.500 0.500 0.500 1
# Energy above the lowest structure with this stoichiometry in meV/atom: 1399.8
# V in Å³ per cell: 104
# Magnetization in μB per formula unit: 3.49
# D(E_F) in states/eV/cell: 7.6

=====

# PBE Rb2SrOsPd, relaxed
data_Rb2SrOsPd
_cell_length_a 5.775
_cell_length_b 5.775
_cell_length_c 5.820
_cell_angle_alpha 90.00
_cell_angle_beta 90.00
_cell_angle_gamma 90.00
_space_group_name_H-M_alt 'P 4/m m m'
_space_group_IT_number 123
_space_group_name_Hall '-P 4 2'
loop_
_atom_site_label
_atom_site_fract_x
_atom_site_fract_y
_atom_site_fract_z
_atom_site_occupancy
Rb1 0.000 0.500 0.000 1
Sr1 0.000 0.000 0.500 1
Os1 0.000 0.000 0.000 1
Pd1 0.500 0.500 0.500 1
# Total DFT energy (no corrections) in eV for the cell shown: -13.9
# V in Å³ per cell: 194
# Magnetization in μB per formula unit: 0.21
# D(E_F) in states/eV/cell: 4.6

=====

# PBE Rb2TlOsPd, relaxed
data_Rb2TlOsPd
_cell_length_a 6.647
_cell_length_b 6.647
_cell_length_c 5.170
_cell_angle_alpha 90.00
_cell_angle_beta 90.00
_cell_angle_gamma 90.00
_space_group_name_H-M_alt 'P 4/m m m'
_space_group_IT_number 123
_space_group_name_Hall '-P 4 2'
loop_
_atom_site_label
_atom_site_fract_x
_atom_site_fract_y
_atom_site_fract_z
_atom_site_occupancy
Rb1 0.000 0.500 0.000 1
Tl1 0.000 0.000 0.000 1
Os1 0.000 0.000 0.500 1
Pd1 0.500 0.500 0.500 1
# Total DFT energy (no corrections) in eV for the cell shown: -13.8
# V in Å³ per cell: 228
# Magnetization in μB per formula unit: 2.03
# D(E_F) in states/eV/cell: 5.4

=====

# PBE RbVOsPd2, relaxed
data_RbVOsPd2
_cell_length_a 4.906
_cell_length_b 4.906
_cell_length_c 5.430
_cell_angle_alpha 90.00
_cell_angle_beta 90.00
_cell_angle_gamma 90.00
_space_group_name_H-M_alt 'P 4/m m m'
_space_group_IT_number 123
_space_group_name_Hall '-P 4 2'
loop_
_atom_site_label
_atom_site_fract_x
_atom_site_fract_y
_atom_site_fract_z
_atom_site_occupancy
Rb1 0.000 0.000 0.000 1
V1 0.500 0.500 0.000 1
Os1 0.000 0.000 0.500 1
Pd1 0.000 0.500 0.500 1
# Energy above the lowest structure with this stoichiometry in meV/atom: 1138.6
# V in Å³ per cell: 131
# Magnetization in μB per formula unit: 0.47
# D(E_F) in states/eV/cell: 10.3